1.
Density functional theory data (PBE-GGA) for a relaxed structure of CeDy3N3.

Output
calculated total energy = -7.600 eV/atom
formation energy without anion corrections = -1.212 eV/atom

```
data_CeDy3N3
_space_group_name_H-M_alt 'P -1'
_space_group_IT_number 2
_cell_length_a 5.4450
_cell_length_b 6.8413
_cell_length_c 6.9648
_cell_angle_alpha 104.23
_cell_angle_beta 92.75
_cell_angle_gamma 90.02
loop_
_space_group_symop_operation_xyz
'x,y,z'
'-x,-y,-z'
loop_
_atom_site_label
_atom_site_type_symbol
_atom_site_fract_x
_atom_site_fract_y
_atom_site_fract_z
Ce1 Ce 0.2471 0.3402 0.3673
Dy1 Dy 0.2329 0.4645 0.8613
Dy2 Dy 0.2341 0.9657 0.8595
Dy3 Dy 0.2506 0.8423 0.3662
N1 N 0.0035 0.7518 0.0052
N2 N 0.2696 0.1510 0.5990
N3 N 0.2734 0.6483 0.5988
```

=====

2.
Density functional theory data (PBE-GGA) for a relaxed structure of Ce2DyN.

Output
calculated total energy = -6.810 eV/atom
formation energy without anion corrections = -0.612 eV/atom
energy above the most stable polymorph in this dataset = 0 meV/atom

```
data_Ce2DyN
_space_group_name_H-M_alt 'R -3 m'
_space_group_IT_number 166
_space_group_name_Hall '-R 3 2"'
_cell_length_a 3.4983
_cell_length_b 3.4983
_cell_length_c 27.8064
_cell_angle_alpha 90.00
_cell_angle_beta 90.00
_cell_angle_gamma 120.00
loop_
_atom_site_label
_atom_site_type_symbol
_atom_site_fract_x
_atom_site_fract_y
_atom_site_fract_z
Ce1 Ce 0.0000 0.0000 0.2175
Dy1 Dy 0.0000 0.0000 0.0000
N1 N 0.0000 0.0000 0.5000
```

=====

3.
Density functional theory data (PBE-GGA) for a relaxed structure of Ce3DyN4.

Output
calculated total energy = -8.504 eV/atom
formation energy without anion corrections = -1.541 eV/atom

```
data_Ce3DyN4
_space_group_name_H-M_alt 'C m m m'
_space_group_IT_number 65
_space_group_name_Hall '-C 2 2'
_cell_length_a 7.0960
_cell_length_b 10.0213
_cell_length_c 3.5449
_cell_angle_alpha 90.00
_cell_angle_beta 90.00
_cell_angle_gamma 90.00
loop_
_atom_site_label
_atom_site_type_symbol
_atom_site_fract_x
_atom_site_fract_y
_atom_site_fract_z
Ce1 Ce 0.0000 0.0000 0.0000
Ce2 Ce 0.2500 0.2500 0.5000
Dy1 Dy 0.0000 0.5000 0.0000
N1 N 0.0000 0.2521 0.0000
N2 N 0.2480 0.5000 0.5000
```

=====

- The lowest formation energy without anion corrections belongs to which entry?
  Ce3DyN4

=====

- calculated total energy of number 3 (Ce3DyN4)?
  -8.504 eV/atom